Density functional theory data (PBE+U) for a relaxed structure of YTaCr2O8.

Properties
As for the final energy: -8.373 eV per atom.

a b c (Å): 6.785 6.626 6.323
angles (deg): 90.00 91.54 90.00
Space group C2/m (No. 12)
One atom of each set of equivalent atoms:
Y1 0.000 0.000 0.000 x2
Ta1 0.000 0.000 0.500 x2
Cr1 0.001 0.500 0.749 x4
O1 0.001 0.207 0.277 x8
O2 0.171 0.500 0.990 x4
O3 0.192 0.500 0.493 x4